Ac4MgCu: optimized geometry, PBE-GGA.

Structure (POSCAR):
```
Ac4MgCu
1.0
-4.696 -2.389 -1.235
2.162 -4.833 1.132
-2.394 0.721 7.704
Ac Mg Cu
4 1 1
Direct
0.001 0.498 0.725
0.001 0.497 0.272
0.501 0.997 0.272
0.501 0.998 0.725
0.501 0.497 0.998
0.002 0.996 0.498
```

Results
The total energy is -3.48 eV/atom. The calculation puts the formation energy at 0.208 eV/atom. As for the size of the total moment: 0.0 μB/f.u.